1.
Below is a geometry-optimized Y2TmSc3Se6 structure, with properties calculated at the GGA-PBE level.

Output
- Total energy: -77.19 eV per cell
- Size of the total moment: 0.00 μB per formula unit
- D(E_F): 6.6 states/eV/cell
- Space group: C2/m (12)

a = 8.870 Å, b = 8.870 Å, c = 7.965 Å
α = 102.86°, β = 102.86°, γ = 25.82°
Atoms (fractional coordinates):
Y1 0.168 0.168 0.335
Y2 0.832 0.832 0.665
Tm1 0.500 0.500 0.000
Sc1 0.169 0.169 0.832
Sc2 0.500 0.500 0.500
Sc3 0.831 0.831 0.168
Se1 0.004 0.004 0.746
Se2 0.332 0.332 0.927
Se3 0.338 0.338 0.408
Se4 0.662 0.662 0.592
Se5 0.668 0.668 0.073
Se6 0.996 0.996 0.254


2.
Below is a geometry-optimized Li3BeOs structure, with properties calculated at the GGA-PBE level.

Output
- Total energy: -13.55 eV per cell
- Relative energy among the computed polymorphs: 0.280 eV/atom
- Size of the total moment: 1.09 μB per formula unit
- Formation energy from the elements: 7.14 eV/f.u.
- D(E_F): 2.2 states/eV/cell
- Space group: Pm-3m (221)

a = 4.708 Å, b = 4.708 Å, c = 4.708 Å
α = 90.00°, β = 90.00°, γ = 90.00°
Atoms (fractional coordinates):
Li1 0.000 0.000 0.500
Li2 0.000 0.500 0.000
Li3 0.500 0.000 0.000
Be1 0.500 0.500 0.500
Os1 0.000 0.000 0.000


3.
Below is a geometry-optimized B5C7 structure, with properties calculated at the GGA-PBE level.

Output
- Total energy: -93.04 eV per cell
- Relative energy among the computed polymorphs: 0.152 eV/atom
- Size of the total moment: 0.00 μB per formula unit
- Formation energy from the elements: 4.92 eV/f.u.
- D(E_F): 2.1 states/eV/cell
- Space group: Pm (6)

a = 4.780 Å, b = 2.530 Å, c = 6.527 Å
α = 90.00°, β = 96.43°, γ = 90.00°
Atoms (fractional coordinates):
B1 0.000 0.000 0.000
B2 0.044 0.000 0.734
B3 0.176 0.500 0.428
B4 0.678 0.000 0.709
B5 0.806 0.500 0.121
C1 0.207 0.500 0.676
C2 0.348 0.000 0.095
C3 0.368 0.000 0.334
C4 0.489 0.500 0.017
C5 0.495 0.500 0.785
C6 0.694 0.000 0.436
C7 0.836 0.500 0.362


4.
Below is a geometry-optimized TbSmPu2 structure, with properties calculated at the GGA-PBE level.

Output
- Total energy: -37.22 eV per cell
- Relative energy among the computed polymorphs: 0.000 eV/atom
- Size of the total moment: 12.64 μB per formula unit
- Formation energy from the elements: 0.80 eV/f.u.
- D(E_F): 15.4 states/eV/cell
- Space group: P4/mmm (123)

a = 4.855 Å, b = 4.855 Å, c = 5.052 Å
α = 90.00°, β = 90.00°, γ = 90.00°
Atoms (fractional coordinates):
Tb1 0.000 0.000 0.000
Sm1 0.500 0.500 0.000
Pu1 0.000 0.500 0.500
Pu2 0.500 0.000 0.500


Repeat the first record exactly.
Below is a geometry-optimized Y2TmSc3Se6 structure, with properties calculated at the GGA-PBE level.

Output
- Total energy: -77.19 eV per cell
- Size of the total moment: 0.00 μB per formula unit
- D(E_F): 6.6 states/eV/cell
- Space group: C2/m (12)

a = 8.870 Å, b = 8.870 Å, c = 7.965 Å
α = 102.86°, β = 102.86°, γ = 25.82°
Atoms (fractional coordinates):
Y1 0.168 0.168 0.335
Y2 0.832 0.832 0.665
Tm1 0.500 0.500 0.000
Sc1 0.169 0.169 0.832
Sc2 0.500 0.500 0.500
Sc3 0.831 0.831 0.168
Se1 0.004 0.004 0.746
Se2 0.332 0.332 0.927
Se3 0.338 0.338 0.408
Se4 0.662 0.662 0.592
Se5 0.668 0.668 0.073
Se6 0.996 0.996 0.254